Here is a relaxed structure of RbAg2IF2 from Alexandria. Energies are from PBE-GGA.

```
RbAg2IF2
1.0
5.804 0.000 0.000
0.000 6.173 0.002
0.000 -2.238 8.787
Rb Ag I F
2 4 2 4
Direct
0.750 0.307 0.586
0.250 0.693 0.414
0.497 0.135 0.154
0.003 0.135 0.154
0.997 0.865 0.846
0.503 0.865 0.846
0.250 0.281 0.921
0.750 0.719 0.079
0.250 0.130 0.365
0.250 0.608 0.690
0.750 0.870 0.635
0.750 0.392 0.310
```

Calculated values
E: -3.260 eV/atom
calculated volume: 26.24 A^3/atom
raw formation energy: -122.2 kJ per mole of atoms
DOS at the Fermi energy: 0.0 states/eV/cell
ρ: 4.917 g/cm³

***

Here is a relaxed structure of NaTa2O5 from Alexandria. Energies are from PBE-GGA.

```
NaTa2O5
1.0
-0.665 -1.302 -3.577
5.271 1.980 0.387
3.321 -9.388 2.801
Na Ta O
2 4 10
Direct
0.410 0.819 0.750
0.590 0.181 0.250
0.865 0.731 0.434
0.865 0.731 0.066
0.135 0.269 0.566
0.135 0.269 0.934
0.961 0.922 0.886
0.961 0.922 0.614
0.320 0.640 0.461
0.320 0.640 0.039
0.815 0.630 0.250
0.185 0.370 0.750
0.680 0.360 0.539
0.680 0.360 0.961
0.039 0.078 0.114
0.039 0.078 0.386
```

Calculated values
E: -8.791 eV/atom
calculated volume: 13.25 A^3/atom
raw formation energy: -247.4 kJ per mole of atoms
DOS at the Fermi energy: 6.4 states/eV/cell
ρ: 7.283 g/cm³

***

Here is a relaxed structure of Sm3ZrGe6 from Alexandria. Energies are from PBE-GGA.

```
Sm3ZrGe6
1.0
-3.515 2.009 -6.533
-6.331 -1.028 4.234
1.658 7.098 2.436
Sm Zr Ge
6 2 12
Direct
0.182 0.750 0.318
0.318 0.182 0.750
0.250 0.682 0.818
0.750 0.318 0.182
0.682 0.818 0.250
0.818 0.250 0.682
0.000 0.000 0.000
0.500 0.500 0.500
0.911 0.632 0.988
0.012 0.089 0.368
0.132 0.411 0.488
0.368 0.012 0.089
0.411 0.488 0.132
0.512 0.868 0.589
0.488 0.132 0.411
0.589 0.512 0.868
0.632 0.988 0.911
0.868 0.589 0.512
0.988 0.911 0.632
0.089 0.368 0.012
```

Calculated values
E: -5.719 eV/atom
calculated volume: 22.10 A^3/atom
formation energy from the elements: -0.678 eV/atom
DOS at the Fermi energy: 10.4 states/eV/cell
ρ: 7.350 g/cm³

***

- Look up the DOS at the Fermi energy of the first one.
  0.0 states/eV/cell